a.
Fe2OsN: optimized geometry, PBE.

Unit cell a=5.480 b=5.480 c=5.480 alpha=126.90 beta=126.90 gamma=78.41
Element x y z (fractional)
Fe: 0.043 0.625 0.918
Fe: 0.375 0.293 0.418
Fe: 0.707 0.125 0.082
Fe: 0.875 0.957 0.582
Os: 0.250 0.750 0.500
Os: 0.500 0.500 0.000
N: 0.000 0.000 0.000
N: 0.750 0.250 0.500

Output
space group = I-42d, No. 122

***

b.
Fe2OsN: optimized geometry, PBE.

Unit cell a=6.961 b=6.961 c=6.961 alpha=22.82 beta=22.82 gamma=22.82
Element x y z (fractional)
Fe: 0.115 0.115 0.115
Fe: 0.885 0.885 0.885
Os: 0.000 0.000 0.000
N: 0.500 0.500 0.500

Output
space group = R-3m, No. 166

***

Energetically preferred structure: b | next structure: +8.5 kJ/mol of atoms

***

a.
FeOs3N: optimized geometry, PBE.

Unit cell a=4.380 b=4.380 c=4.380 alpha=90.00 beta=90.00 gamma=90.00
Element x y z (fractional)
Fe: 0.000 0.000 0.000
Os: 0.000 0.000 0.500
Os: 0.000 0.500 0.000
Os: 0.500 0.000 0.000
N: 0.500 0.500 0.500

Output
space group = Pm-3m, No. 221

***

b.
FeOs3N: optimized geometry, PBE.

Unit cell a=3.985 b=3.985 c=3.985 alpha=90.00 beta=90.00 gamma=90.00
Element x y z (fractional)
Fe: 0.000 0.000 0.000
Os: 0.000 0.500 0.500
Os: 0.500 0.000 0.500
Os: 0.500 0.500 0.000
N: 0.500 0.500 0.500

Output
space group = Pm-3m, No. 221

***

Energetically preferred structure: b | next structure: +218.5 kJ/mol of atoms

***

a.
FeOsS2N: optimized geometry, PBE.

Unit cell a=4.813 b=4.813 c=3.658 alpha=90.00 beta=90.00 gamma=90.00
Element x y z (fractional)
Fe: 0.000 0.000 0.000
Os: 0.500 0.500 0.500
S: 0.000 0.500 0.500
S: 0.500 0.000 0.500
N: 0.500 0.500 0.000

Output
space group = P4/mmm, No. 123

***

b.
FeOsS2N: optimized geometry, PBE.

Unit cell a=4.529 b=4.529 c=3.299 alpha=90.00 beta=90.00 gamma=90.00
Element x y z (fractional)
Fe: 0.000 0.000 0.000
Os: 0.500 0.500 0.500
S: 0.000 0.500 0.000
S: 0.500 0.000 0.000
N: 0.000 0.000 0.500

Output
space group = P4/mmm, No. 123

***

Energetically preferred structure: a | next structure: +20.5 kJ/mol of atoms

***

a.
FeOsSN2: optimized geometry, PBE.

Unit cell a=3.747 b=3.747 c=5.237 alpha=90.00 beta=90.00 gamma=90.00
Element x y z (fractional)
Fe: 0.000 0.000 0.000
Os: 0.500 0.500 0.500
S: 0.500 0.500 0.000
N: 0.000 0.500 0.500
N: 0.500 0.000 0.500

Output
space group = P4/mmm, No. 123

***

b.
FeOsSN2: optimized geometry, PBE.

Unit cell a=3.536 b=3.536 c=4.796 alpha=90.00 beta=90.00 gamma=90.00
Element x y z (fractional)
Fe: 0.000 0.000 0.000
Os: 0.500 0.500 0.500
S: 0.000 0.000 0.500
N: 0.000 0.500 0.000
N: 0.500 0.000 0.000

Output
space group = P4/mmm, No. 123

***

Energetically preferred structure: a | next structure: +54.3 kJ/mol of atoms